# 1
A relaxed structure of Nd2CoTe. Source: Alexandria via LeMat-Bulk, functional PBE.

Values from the calculation:
* calculated density: 7100 kg/m3
* formation energy (no corrections): -0.599 eV/atom
* E_tot: -5.54 eV/atom
* D(E_F): 0.633 states/eV/atom

Lattice parameters (Å, degrees): 7.863 7.863 7.863 30.52 30.52 30.52
Fractional coordinates of all 4 atoms:
Nd (0.236, 0.236, 0.236)
Nd (0.764, 0.764, 0.764)
Co (0.500, 0.500, 0.500)
Te (0.000, 0.000, 0.000)

# 2
A relaxed structure of Nd5CoTe2. Source: Alexandria via LeMat-Bulk, functional PBE.

Values from the calculation:
* calculated density: 7367 kg/m3
* formation energy (no corrections): -0.756 eV/atom
* E_tot: -5.41 eV/atom
* D(E_F): 0.798 states/eV/atom

Lattice parameters (Å, degrees): 8.243 12.683 4.464 90.00 90.00 90.00
Fractional coordinates of all 16 atoms:
Nd (0.000, 0.000, 0.000)
Nd (0.133, 0.307, 0.000)
Nd (0.185, 0.563, 0.500)
Nd (0.315, 0.063, 0.500)
Nd (0.367, 0.807, 0.000)
Nd (0.500, 0.500, 0.000)
Nd (0.633, 0.193, 0.000)
Nd (0.685, 0.937, 0.500)
Nd (0.815, 0.437, 0.500)
Nd (0.867, 0.693, 0.000)
Co (0.000, 0.500, 0.000)
Co (0.500, 0.000, 0.000)
Te (0.077, 0.824, 0.500)
Te (0.423, 0.324, 0.500)
Te (0.577, 0.676, 0.500)
Te (0.923, 0.176, 0.500)

# 3
A relaxed structure of Nd5CoTe4. Source: Alexandria via LeMat-Bulk, functional PBE.

Values from the calculation:
* calculated density: 6912 kg/m3
* formation energy (no corrections): -1.125 eV/atom
* E_tot: -5.48 eV/atom
* D(E_F): 1.081 states/eV/atom

Lattice parameters (Å, degrees): 7.678 7.678 7.678 99.81 99.81 131.24
Fractional coordinates of all 10 atoms:
Nd (0.000, 0.000, 0.000)
Nd (0.241, 0.408, 0.649)
Nd (0.408, 0.759, 0.166)
Nd (0.592, 0.241, 0.834)
Nd (0.759, 0.592, 0.351)
Co (0.500, 0.500, 0.000)
Te (0.087, 0.691, 0.778)
Te (0.309, 0.087, 0.396)
Te (0.691, 0.913, 0.604)
Te (0.913, 0.309, 0.222)

# 4
A relaxed structure of NdCoTe2. Source: Alexandria via LeMat-Bulk, functional PBE.

Values from the calculation:
* calculated density: 6849 kg/m3
* formation energy (no corrections): -0.176 eV/atom
* E_tot: -4.72 eV/atom
* D(E_F): 1.044 states/eV/atom

Lattice parameters (Å, degrees): 9.379 9.379 9.379 23.06 23.06 23.06
Fractional coordinates of all 4 atoms:
Nd (0.000, 0.000, 0.000)
Co (0.500, 0.500, 0.500)
Te (0.116, 0.116, 0.116)
Te (0.884, 0.884, 0.884)

Repeat the third record exactly.
A relaxed structure of Nd5CoTe4. Source: Alexandria via LeMat-Bulk, functional PBE.

Values from the calculation:
* calculated density: 6912 kg/m3
* formation energy (no corrections): -1.125 eV/atom
* E_tot: -5.48 eV/atom
* D(E_F): 1.081 states/eV/atom

Lattice parameters (Å, degrees): 7.678 7.678 7.678 99.81 99.81 131.24
Fractional coordinates of all 10 atoms:
Nd (0.000, 0.000, 0.000)
Nd (0.241, 0.408, 0.649)
Nd (0.408, 0.759, 0.166)
Nd (0.592, 0.241, 0.834)
Nd (0.759, 0.592, 0.351)
Co (0.500, 0.500, 0.000)
Te (0.087, 0.691, 0.778)
Te (0.309, 0.087, 0.396)
Te (0.691, 0.913, 0.604)
Te (0.913, 0.309, 0.222)